A relaxed structure of LiPmYCo. Source: Alexandria, functional PBE-GGA.

Cell: 6.986 6.986 6.986 Å, 90.00 90.00 90.00°
Space group F-43m (No. 216)
Unique sites:
Li 0.000 0.000 0.000 [4 per cell]
Pm 0.250 0.250 0.750 [4 per cell]
Y 0.250 0.250 0.250 [4 per cell]
Co 0.000 0.000 0.500 [4 per cell]

The formation energy from the elements is -21 meV per atom. Its electronic total energy is -81.3 eV/cell.

=====

A relaxed structure of LiPmZrCo. Source: Alexandria, functional PBE-GGA.

Cell: 6.754 6.754 6.754 Å, 90.00 90.00 90.00°
Space group F-43m (No. 216)
Unique sites:
Li 0.000 0.000 0.000 [4 per cell]
Pm 0.250 0.250 0.250 [4 per cell]
Zr 0.250 0.250 0.750 [4 per cell]
Co 0.000 0.000 0.500 [4 per cell]

The formation energy from the elements is 84 meV per atom. Its electronic total energy is -87.9 eV/cell.

=====

A relaxed structure of LiPrCo. Source: Alexandria, functional PBE-GGA.

Cell: 12.998 3.915 5.248 Å, 90.00 99.07 90.00°
Space group C2/m (No. 12)
Unique sites:
Li 0.090 0.000 0.321 [4 per cell]
Pr 0.134 0.500 0.848 [4 per cell]
Co 0.237 0.500 0.395 [4 per cell]

The formation energy from the elements is 62 meV per atom. As for the distance to the lowest polymorph of the same formula: 0.18 eV/f.u. Its electronic total energy is -54.5 eV/cell.

=====

A relaxed structure of LiPr12Co6. Source: Alexandria, functional PBE-GGA.

Cell: 10.133 10.133 10.133 Å, 90.00 90.00 90.00°
Space group Im-3 (No. 204)
Unique sites:
Li 0.000 0.000 0.000 [2 per cell]
Pr 0.000 0.195 0.309 [24 per cell]
Co 0.000 0.390 0.500 [12 per cell]

The formation energy from the elements is -50 meV per atom. Its electronic total energy is -205.7 eV/cell.

=====

A relaxed structure of LiPrCo4. Source: Alexandria, functional PBE-GGA.

Cell: 7.092 7.092 7.092 Å, 90.00 90.00 90.00°
Space group F-43m (No. 216)
Unique sites:
Li 0.000 0.000 0.000 [4 per cell]
Pr 0.250 0.250 0.750 [4 per cell]
Co 0.126 0.126 0.374 [16 per cell]

The formation energy from the elements is 46 meV per atom. Its electronic total energy is -139.4 eV/cell.

=====

A relaxed structure of LiPrCo. Source: Alexandria, functional PBE-GGA.

Cell: 6.784 3.908 11.797 Å, 90.00 101.04 90.00°
Space group C2/m (No. 12)
Unique sites:
Li 0.195 0.000 0.086 [4 per cell]
Pr 0.055 0.000 0.667 [4 per cell]
Co 0.166 0.500 0.499 [4 per cell]

The formation energy from the elements is 3 meV per atom. As for the distance to the lowest polymorph of the same formula: 0.00 eV/f.u. Its electronic total energy is -55.2 eV/cell.

=====

A relaxed structure of LiPr2Co. Source: Alexandria, functional PBE-GGA.

Cell: 3.749 7.167 8.048 Å, 83.61 89.77 74.99°
Space group P-1 (No. 2)
Unique sites:
Li 0.119 0.254 0.450 [2 per cell]
Pr 0.272 0.960 0.812 [2 per cell]
Pr 0.464 0.570 0.206 [2 per cell]
Co 0.095 0.308 0.064 [2 per cell]

The formation energy from the elements is -10 meV per atom. Its electronic total energy is -37.2 eV/cell.

=====

A relaxed structure of LiPr6Co2. Source: Alexandria, functional PBE-GGA.

Cell: 9.738 10.112 10.279 Å, 90.00 90.00 90.00°
Space group Immm (No. 71)
Unique sites:
Li 0.000 0.000 0.000 [2 per cell]
Li 0.000 0.000 0.500 [2 per cell]
Pr 0.000 0.200 0.228 [8 per cell]
Pr 0.184 0.500 0.180 [8 per cell]
Pr 0.215 0.320 0.500 [8 per cell]
Co 0.000 0.332 0.000 [4 per cell]
Co 0.000 0.500 0.388 [4 per cell]

The formation energy from the elements is -28 meV per atom. Its electronic total energy is -180.2 eV/cell.

=====

A relaxed structure of LiPr2Co. Source: Alexandria, functional PBE-GGA.

Cell: 3.511 3.511 8.312 Å, 90.00 90.00 90.00°
Space group P4/mmm (No. 123)
Unique sites:
Li 0.000 0.000 0.000 [1 per cell]
Pr 0.500 0.500 0.296 [2 per cell]
Co 0.000 0.000 0.500 [1 per cell]

The formation energy from the elements is 56 meV per atom. Its electronic total energy is -18.4 eV/cell.

=====

A relaxed structure of LiPr2Co. Source: Alexandria, functional PBE-GGA.

Cell: 3.9047 3.9047 26.2497 Å, 90.00 90.00 120.00°
Space group R-3m (No. 166, hexagonal axes)
Unique sites:
Li 0.0000 0.0000 0.0000 [3 per cell]
Pr 0.0000 0.0000 0.2268 [6 per cell]
Co 0.0000 0.0000 0.5000 [3 per cell]

The formation energy from the elements is 64 meV per atom. Its electronic total energy is -55.0 eV/cell.

=====

A relaxed structure of LiPr3Co3. Source: Alexandria, functional PBE-GGA.

Cell: 4.341 10.118 13.437 Å, 90.00 90.00 90.00°
Space group Cmcm (No. 63)
Unique sites:
Li 0.000 0.000 0.000 [4 per cell]
Pr 0.000 0.014 0.250 [4 per cell]
Pr 0.000 0.305 0.101 [8 per cell]
Co 0.000 0.284 0.750 [4 per cell]
Co 0.000 0.399 0.604 [8 per cell]

The formation energy from the elements is 13 meV per atom. Its electronic total energy is -149.9 eV/cell.

=====

A relaxed structure of LiPr2Co. Source: Alexandria, functional PBE-GGA.

Cell: 3.9751 3.9751 25.5886 Å, 90.00 90.00 120.00°
Space group R3m (No. 160, hexagonal axes)
Unique sites:
Li 0.0000 0.0000 0.0000 [3 per cell]
Pr 0.0000 0.0000 0.2280 [3 per cell]
Pr 0.0000 0.0000 0.4423 [3 per cell]
Co 0.0000 0.0000 0.8356 [3 per cell]

The formation energy from the elements is 59 meV per atom. Its electronic total energy is -55.0 eV/cell.

=====

A relaxed structure of LiPrPuCo. Source: Alexandria, functional PBE-GGA.

Cell: 6.996 6.996 6.996 Å, 90.00 90.00 90.00°
Space group F-43m (No. 216)
Unique sites:
Li 0.000 0.000 0.000 [4 per cell]
Pr 0.250 0.250 0.250 [4 per cell]
Pu 0.250 0.250 0.750 [4 per cell]
Co 0.000 0.000 0.500 [4 per cell]

The formation energy from the elements is 176 meV per atom. Its electronic total energy is -109.7 eV/cell.